1.
# AcDyTh, optimized geometry, DFT GGA-PBE
# Theoretical density: 9.577 g/cm³
# Calculated volume: 35.9 A^3/atom
# Polymorph energy (0 for the lowest one): 0 meV per atom
# Total energy: -31.74 eV for the cell shown
data_AcDyTh
_symmetry_space_group_name_H-M 'I 4 m m'
_symmetry_Int_Tables_number 107
_symmetry_space_group_name_Hall 'I 4 -2'
_cell_length_a 3.712
_cell_length_b 3.712
_cell_length_c 15.640
_cell_angle_alpha 90.00
_cell_angle_beta 90.00
_cell_angle_gamma 90.00
loop_
_atom_site_label
_atom_site_type_symbol
_atom_site_fract_x
_atom_site_fract_y
_atom_site_fract_z
Ac1 Ac 0.000 0.000 0.000
Dy1 Dy 0.000 0.000 0.684
Th1 Th 0.000 0.000 0.333

2.
# MnCd2Te, optimized geometry, DFT GGA-PBE
# Theoretical density: 6.801 g/cm³
# Calculated volume: 24.9 A^3/atom
# Total energy: -52.88 eV for the cell shown
# E_form (uncorrected): 0.23 eV/atom
data_MnCd2Te
_symmetry_space_group_name_H-M 'I -4 2 d'
_symmetry_Int_Tables_number 122
_symmetry_space_group_name_Hall 'I -4 2bw'
_cell_length_a 8.356
_cell_length_b 8.356
_cell_length_c 5.697
_cell_angle_alpha 90.00
_cell_angle_beta 90.00
_cell_angle_gamma 90.00
loop_
_atom_site_label
_atom_site_type_symbol
_atom_site_fract_x
_atom_site_fract_y
_atom_site_fract_z
Mn1 Mn 0.000 0.000 0.000
Cd1 Cd 0.241 0.250 0.125
Te1 Te 0.000 0.000 0.500